Compound: Mg2BeRu
Source: Alexandria via LeMat-Bulk
Functional: PBEsol
Structure: relaxed

abc: 3.7824 3.7824 3.9868
angles: 90.00 90.00 90.00
Closest atoms and distances in Å follow each position.
Space group P4/mmm (No. 123)
Asymmetric unit:
Mg 0.0000 0.5000 0.0000 (multiplicity 2)  4 Mg 2.67, 4 Ru 2.75, 4 Be 2.75
Be 0.0000 0.0000 0.5000 (multiplicity 1)  4 Ru 2.67, 8 Mg 2.75
Ru 0.5000 0.5000 0.5000 (multiplicity 1)  4 Be 2.67, 8 Mg 2.75

Summary:
D(E_F)   3.25 states/eV/f.u.
ρ   4.62 g/cm³
DFT formation energy   17.6 kJ/mol of atoms
Uncorrected energy   -4.219 eV/atom
Magnetization   0.3 μB/f.u.
Crystal system   tetragonal

***

Compound: ReSi2W
Source: Alexandria via LeMat-Bulk
Functional: PBEsol
Structure: relaxed

abc: 3.0233 3.9240 4.7484
angles: 90.00 90.00 90.00
Closest atoms and distances in Å follow each position.
Space group Pmmm (No. 47)
Asymmetric unit:
Re 0.0000 0.0000 0.0000 (multiplicity 1)  4 Si 2.48
Si 0.0000 0.5000 0.5000 (multiplicity 1)  4 W 2.48
Si 0.5000 0.5000 0.0000 (multiplicity 1)  4 Re 2.48
W 0.5000 0.0000 0.5000 (multiplicity 1)  4 Si 2.48

Summary:
D(E_F)   3.29 states/eV/f.u.
ρ   12.56 g/cm³
E_form (uncorrected)   0.131 eV per atom
Uncorrected energy   -9.528 eV/atom
Offset from the most stable computed form   502 meV/atom
Magnetization   0.0 μB/f.u.
Crystal system   orthorhombic

***

Compound: Ba4SbPt
Source: Alexandria via LeMat-Bulk
Functional: PBEsol
Structure: relaxed

abc: 9.4904 9.4904 9.4904
angles: 90.00 90.00 90.00
Closest atoms and distances in Å follow each position.
Space group F-43m (No. 216)
Asymmetric unit:
Ba 0.1253 0.1253 0.1253 (multiplicity 16)  6 Ba 3.35-3.36
Sb 0.2500 0.2500 0.7500 (multiplicity 4)  12 Ba 3.94, 4 Pt 4.11
Pt 0.0000 0.0000 0.5000 (multiplicity 4)  12 Ba 3.93, 4 Sb 4.11

Summary:
D(E_F)   4.81 states/eV/f.u.
ρ   6.73 g/cm³
E_form (uncorrected)   0.276 eV per atom
Uncorrected energy   -3.077 eV/atom
Magnetization   0.0 μB/f.u.
Crystal system   cubic

***

Compound: As2IrIBr
Source: Alexandria via LeMat-Bulk
Functional: PBEsol
Structure: relaxed

abc: 5.2797 5.2797 5.1615
angles: 90.00 90.00 90.00
Closest atoms and distances in Å follow each position.
Space group P4/mmm (No. 123)
Asymmetric unit:
As 0.0000 0.5000 0.0000 (multiplicity 2)  2 I 2.64
Ir 0.0000 0.0000 0.5000 (multiplicity 1)  8 As 3.69, 4 Br 3.73
I 0.5000 0.5000 0.0000 (multiplicity 1)  2 Br 2.58, 4 As 2.64
Br 0.5000 0.5000 0.5000 (multiplicity 1)  2 I 2.58

Summary:
D(E_F)   9.06 states/eV/f.u.
ρ   6.33 g/cm³
E_form (uncorrected)   2.105 eV per atom
Uncorrected energy   -2.629 eV/atom
Magnetization   1.3 μB/f.u.
Crystal system   tetragonal